# Ac2CdMoO6

Crystalline Ac2CdMoO6 at its relaxed geometry (PBE with a Hubbard U, the Alexandria database).

**Space group**: P2_1/c, No. 14
**Final energy**: -7.058 eV/atom

```
Ac2CdMoO6
1.0
5.875 0.000 -0.022
0.000 6.166 0.000
0.020 0.000 8.371
Ac Cd Mo O
4 2 2 12
Cartesian
2.852 2.736 2.078
3.043 3.430 6.271
5.799 0.347 6.252
0.095 5.820 2.096
0.010 3.083 4.185
2.937 0.000 -0.011
0.000 3.083 0.000
2.947 0.000 4.174
0.634 2.819 6.429
2.333 5.902 6.116
1.839 4.395 3.640
1.278 1.128 3.775
4.056 1.772 4.709
3.561 0.264 2.233
5.261 3.348 1.919
1.669 4.211 0.400
4.786 4.855 7.814
4.226 1.955 7.949
4.616 5.038 4.574
1.108 1.311 0.534
```